Record 1
Density functional theory data (PBE-GGA) for crystalline InOs4 at its relaxed geometry.

- energy relative to the lowest polymorph listed for this composition (eV/atom) = 0.999
- space group = Pm-3m
- ΔE_f (kJ/mol of atoms) = 332

Lattice parameters (Å, degrees): 4.6999 4.6999 4.6999 90.00 90.00 90.00
Last column: nearest neighbours and their distance in Å.
Element x y z (fractional)
Os: 0.0000 0.0000 0.0000  12 Os 3.32
Os: 0.5000 0.0000 0.5000  2 In 2.35
Os: 0.0000 0.5000 0.5000  2 In 2.35
Os: 0.5000 0.5000 0.0000  2 In 2.35
In: 0.5000 0.5000 0.5000  6 Os 2.35

=====

Record 2
Density functional theory data (PBE-GGA) for crystalline CoBiRu2 at its relaxed geometry.

- space group = I-42d
- ΔE_f (kJ/mol of atoms) = 69

Lattice parameters (Å, degrees): 3.9763 3.9763 9.3644 77.74 77.74 90.00
Last column: nearest neighbours and their distance in Å.
Element x y z (fractional)
Ru: 0.5506 0.1250 0.2500  2 Ru 2.43, 2 Co 2.54
Ru: 0.1994 0.6250 0.2500  2 Ru 2.43, 2 Co 2.54
Ru: 0.3750 0.4494 0.7500  2 Ru 2.43, 2 Co 2.54
Ru: 0.8750 0.8006 0.7500  2 Ru 2.43, 2 Co 2.54
Co: 0.5000 0.5000 0.0000  4 Ru 2.54, 4 Bi 2.81
Co: 0.2500 0.7500 0.5000  4 Ru 2.54, 4 Bi 2.81
Bi: 0.0000 0.0000 0.0000  4 Ru 2.76, 4 Co 2.81
Bi: 0.7500 0.2500 0.5000  4 Ru 2.76, 4 Co 2.81

=====

Record 3
Density functional theory data (PBE-GGA) for crystalline AlCdNi at its relaxed geometry.

- energy relative to the lowest polymorph listed for this composition (eV/atom) = 0.134
- space group = F-43m
- ΔE_f (kJ/mol of atoms) = -5

Lattice parameters (Å, degrees): 4.2134 4.2134 4.2134 60.00 60.00 60.00
Last column: nearest neighbours and their distance in Å.
Element x y z (fractional)
Ni: 0.7500 0.7500 0.7500  4 Cd 2.58, 4 Al 2.58
Al: 0.0000 0.0000 0.0000  4 Ni 2.58
Cd: 0.5000 0.5000 0.5000  4 Ni 2.58

=====

Record 4
Density functional theory data (PBE-GGA) for crystalline Mo5Pt2Rh4 at its relaxed geometry.

- space group = Pbam
- ΔE_f (kJ/mol of atoms) = -4

Lattice parameters (Å, degrees): 3.9061 6.0548 14.5252 90.00 90.00 90.00
Last column: nearest neighbours and their distance in Å.
Element x y z (fractional)
Mo: 0.0000 0.5000 0.0000  8 Rh 2.68-2.76, 4 Mo 2.77-2.84
Mo: 0.0000 0.0000 0.5000  8 Rh 2.68-2.76, 4 Mo 2.77-2.84
Mo: 0.0000 0.3059 0.1778  2 Mo 2.76-2.84, 4 Pt 2.76-2.79, 4 Rh 2.80
Mo: 0.0000 0.6941 0.8222  2 Mo 2.76-2.84, 4 Pt 2.76-2.79, 4 Rh 2.80
Mo: 0.0000 0.8059 0.3222  2 Mo 2.76-2.84, 4 Pt 2.76-2.79, 4 Rh 2.80
Mo: 0.0000 0.1941 0.6778  2 Mo 2.76-2.84, 4 Pt 2.76-2.79, 4 Rh 2.80
Mo: 0.0000 0.4082 0.4146  6 Rh 2.68-2.82, 2 Pt 2.71, 3 Mo 2.72-2.77
Mo: 0.0000 0.5918 0.5854  6 Rh 2.68-2.82, 2 Pt 2.71, 3 Mo 2.72-2.77
Mo: 0.0000 0.9082 0.0854  6 Rh 2.68-2.82, 2 Pt 2.71, 3 Mo 2.72-2.77
Mo: 0.0000 0.0918 0.9146  6 Rh 2.68-2.82, 2 Pt 2.71, 3 Mo 2.72-2.77
Pt: 0.5000 0.4926 0.2905  3 Rh 2.58-2.69, 6 Mo 2.71-2.79
Pt: 0.5000 0.5074 0.7095  3 Rh 2.58-2.69, 6 Mo 2.71-2.79
Pt: 0.5000 0.9926 0.2095  3 Rh 2.58-2.69, 6 Mo 2.71-2.79
Pt: 0.5000 0.0074 0.7905  3 Rh 2.58-2.69, 6 Mo 2.71-2.79
Rh: 0.5000 0.3020 0.5472  1 Pt 2.67, 3 Rh 2.67-2.76, 8 Mo 2.68-2.82
Rh: 0.5000 0.6980 0.4528  1 Pt 2.67, 3 Rh 2.67-2.76, 8 Mo 2.68-2.82
Rh: 0.5000 0.8020 0.9528  1 Pt 2.67, 3 Rh 2.67-2.76, 8 Mo 2.68-2.82
Rh: 0.5000 0.1980 0.0472  1 Pt 2.67, 3 Rh 2.67-2.76, 8 Mo 2.68-2.82
Rh: 0.5000 0.3955 0.8812  2 Pt 2.58-2.69, 2 Rh 2.67-2.69, 6 Mo 2.68-2.80
Rh: 0.5000 0.6045 0.1188  2 Pt 2.58-2.69, 2 Rh 2.67-2.69, 6 Mo 2.68-2.80
Rh: 0.5000 0.8955 0.6188  2 Pt 2.58-2.69, 2 Rh 2.67-2.69, 6 Mo 2.68-2.80
Rh: 0.5000 0.1045 0.3812  2 Pt 2.58-2.69, 2 Rh 2.67-2.69, 6 Mo 2.68-2.80

=====

Record 5
Density functional theory data (PBE-GGA) for crystalline SiHg3Se4 at its relaxed geometry.

- space group = Pmn2_1
- E_form (uncorrected) (meV per atom) = -205

Lattice parameters (Å, degrees): 6.5578 9.4774 8.2383 90.00 90.00 90.00
Last column: nearest neighbours and their distance in Å.
Element x y z (fractional)
Si: 0.9452 0.1679 0.0000  4 Se 2.30-2.33
Si: 0.4452 0.8321 0.5000  4 Se 2.30-2.33
Hg: 0.0170 0.5520 0.0000  2 Hg 3.07, 2 Se 3.19
Hg: 0.9000 0.7972 0.2257  3 Se 2.61-2.72
Hg: 0.4000 0.2028 0.2743  3 Se 2.61-2.72
Hg: 0.5170 0.4480 0.5000  2 Hg 3.07, 2 Se 3.19
Hg: 0.4000 0.2028 0.7257  3 Se 2.61-2.72
Hg: 0.9000 0.7972 0.7743  3 Se 2.61-2.72
Se: 0.1072 0.9495 0.0000  1 Si 2.33
Se: 0.5999 0.1234 0.0000  1 Si 2.30
Se: 0.0229 0.2849 0.2359  1 Si 2.30
Se: 0.5229 0.7151 0.2641  1 Si 2.30
Se: 0.0999 0.8766 0.5000  1 Si 2.30
Se: 0.6072 0.0505 0.5000  1 Si 2.33
Se: 0.5229 0.7151 0.7359  1 Si 2.30
Se: 0.0229 0.2849 0.7641  1 Si 2.30

=====

Record 6
Density functional theory data (PBE-GGA) for crystalline Cd2MoH at its relaxed geometry.

- energy relative to the lowest polymorph listed for this composition (eV/atom) = 0.526
- space group = Fm-3m

Lattice parameters (Å, degrees): 4.6833 4.6833 4.6833 60.00 60.00 60.00
Last column: nearest neighbours and their distance in Å.
Element x y z (fractional)
H: 0.0000 0.0000 0.0000  8 Cd 2.87
Mo: 0.5000 0.5000 0.5000  8 Cd 2.87
Cd: 0.2500 0.2500 0.2500  4 H 2.87, 4 Mo 2.87
Cd: 0.7500 0.7500 0.7500  4 H 2.87, 4 Mo 2.87

=====

Record 7
Density functional theory data (PBE-GGA) for crystalline Tl5I4O at its relaxed geometry.

- space group = I4
- E_form (uncorrected) (meV per atom) = -539

Lattice parameters (Å, degrees): 7.1361 8.2356 8.2356 79.18 64.33 64.33
Last column: nearest neighbours and their distance in Å.
Element x y z (fractional)
Tl: 0.9286 0.3203 0.8336  1 O 2.73
Tl: 0.2489 0.8336 0.6797  1 O 2.73
Tl: 0.7622 0.1664 0.3203  1 O 2.73
Tl: 0.0825 0.6797 0.1664  1 O 2.73
Tl: 0.3964 0.0000 0.0000  1 O 2.25
I: 0.4171 0.3791 0.7923  5 Tl 3.30-3.63
I: 0.7962 0.7923 0.6209  5 Tl 3.30-3.63
I: 0.2094 0.2077 0.3791  5 Tl 3.30-3.63
I: 0.5885 0.6209 0.2077  5 Tl 3.30-3.63
O: 0.0805 0.0000 0.0000  1 Tl 2.25

=====

Record 8
Density functional theory data (PBE-GGA) for crystalline SrMgCl2 at its relaxed geometry.

- energy relative to the lowest polymorph listed for this composition (eV/atom) = 0.090
- space group = P2/m
- E_form (uncorrected) (meV per atom) = -1429

Lattice parameters (Å, degrees): 3.6399 3.6416 10.4186 89.39 90.00 90.00
Last column: nearest neighbours and their distance in Å.
Element x y z (fractional)
Cl: 0.0000 0.2447 0.9049  4 Sr 3.04, 1 Cl 3.23
Cl: 0.0000 0.2553 0.5951  4 Sr 3.04, 1 Cl 3.23
Mg: 0.5000 0.2500 0.2500  4 Mg 3.64, 4 Cl 4.03
Sr: 0.5000 0.7500 0.7500  8 Cl 3.04